VASP calculation (PBE-GGA) on an optimized crystal structure of TlAgSb2I.

a b c (Å): 5.357 5.357 6.330
angles (deg): 90.00 90.00 90.00
Fractional coordinates of all 5 atoms:
Sb (0.000, 0.500, 0.000)
I (0.000, 0.000, 0.500)
Ag (0.000, 0.000, 0.000)
Sb (0.500, 0.000, 0.000)
Tl (0.500, 0.500, 0.500)

Calculated values
Energy relative to the elements, uncorrected, eV per atom: 0.36
Space-group type: No. 123
Excess energy over the best structure of this formula in the dataset, kJ/mol of formula units: 0
Total energy, eV per atom: -2.647
DOS at the Fermi energy, states/eV per cell: 5.61


VASP calculation (PBE-GGA) on an optimized crystal structure of V6Fe5Co.

a b c (Å): 4.068 5.764 7.049
angles (deg): 114.13 106.77 90.00
Fractional coordinates of all 12 atoms:
Fe (0.664, 0.164, 0.327)
Fe (0.000, 0.500, 0.000)
V (0.500, 0.253, 0.000)
V (0.832, 0.083, 0.664)
Co (0.000, 0.000, 0.000)
V (0.168, 0.419, 0.336)
V (0.832, 0.581, 0.664)
V (0.500, 0.747, 0.000)
Fe (0.336, 0.836, 0.673)
Fe (0.667, 0.667, 0.334)
Fe (0.333, 0.333, 0.666)
V (0.168, 0.917, 0.336)

Calculated values
Space-group type: No. 71
Total energy, eV per atom: -8.788
Formation enthalpy at 0 K, kcal/mol of atoms: -2.541
DOS at the Fermi energy, states/eV per cell: 14.67